# 1
A plane-wave DFT calculation with PBE was carried out for a relaxed LaCdIn crystal.

Unit cell a=4.8158 b=4.6661 c=7.6356 alpha=90.00 beta=106.55 gamma=90.00
Sites, in units of the cell vectors:
La (0.1470, 0.0000, 0.3337)
La (0.8530, 0.0000, 0.6663)
Cd (0.0000, 0.5000, 0.0000)
Cd (0.5000, 0.0000, 0.0000)
In (0.3684, 0.5000, 0.7040)
In (0.6316, 0.5000, 0.2960)

Computed properties:
- Energy: -19.29 eV/cell
- Energy of formation: -34 kJ/mol of atoms
- Crystal system: monoclinic
- Magnetization: 0.0 μB/cell

***

# 2
A plane-wave DFT calculation with PBE was carried out for a relaxed Ti2Tl3VTe6 crystal.

Unit cell a=6.6045 b=6.6045 c=9.4147 alpha=96.61 beta=96.61 gamma=120.02
Sites, in units of the cell vectors:
Ti (0.1663, 0.8337, 0.0000)
Ti (0.8337, 0.1663, 0.0000)
Tl (0.0000, 0.0000, 0.5000)
Tl (0.3312, 0.6688, 0.5000)
Tl (0.6688, 0.3312, 0.5000)
V (0.5000, 0.5000, 0.0000)
Te (0.1085, 0.4394, 0.8155)
Te (0.2304, 0.2304, 0.1853)
Te (0.4394, 0.1085, 0.8155)
Te (0.5606, 0.8915, 0.1845)
Te (0.7696, 0.7696, 0.8147)
Te (0.8915, 0.5606, 0.1845)

Computed properties:
- Energy: -56.01 eV/cell
- Formation energy from raw total energies: -0.4298 eV/atom
- Crystal system: monoclinic
- Magnetization: 2.4 μB/cell

***

# 3
A plane-wave DFT calculation with PBE was carried out for a relaxed MgBr crystal.

Unit cell a=4.9136 b=4.9136 c=12.6311 alpha=90.00 beta=90.00 gamma=120.00
Sites, in units of the cell vectors:
Mg (0.0000, 0.0000, 0.2500)
Mg (0.0000, 0.0000, 0.7500)
Mg (0.3333, 0.6667, 0.2500)
Mg (0.6667, 0.3333, 0.7500)
Br (0.3333, 0.6667, 0.6182)
Br (0.3333, 0.6667, 0.8818)
Br (0.6667, 0.3333, 0.1182)
Br (0.6667, 0.3333, 0.3818)

Computed properties:
- Energy: -14.96 eV/cell
- Formation energy from raw total energies: -0.2358 eV/atom
- Crystal system: hexagonal
- Magnetization: 0.0 μB/cell

***

# 4
A plane-wave DFT calculation with PBE was carried out for a relaxed Nd4GaTe2Se crystal.

Unit cell a=7.5668 b=4.3554 c=7.7253 alpha=90.00 beta=108.90 gamma=90.00
Sites, in units of the cell vectors:
Nd (0.2393, 0.0000, 0.2293)
Nd (0.2522, 0.5000, 0.7739)
Nd (0.7478, 0.5000, 0.2261)
Nd (0.7607, 0.0000, 0.7707)
Ga (0.0000, 0.5000, 0.0000)
Te (0.0000, 0.0000, 0.5000)
Te (0.5000, 0.5000, 0.5000)
Se (0.5000, 0.0000, 0.0000)

Computed properties:
- Energy: -42.73 eV/cell
- Formation energy from raw total energies: -1.3577 eV/atom
- Crystal system: monoclinic
- Magnetization: 0.0 μB/cell

***

# 5
A plane-wave DFT calculation with PBE was carried out for a relaxed NiMoN2 crystal.

Unit cell a=6.2522 b=6.2522 c=6.2522 alpha=27.24 beta=27.24 gamma=27.24
Sites, in units of the cell vectors:
Ni (0.0000, 0.0000, 0.0000)
Mo (0.5000, 0.5000, 0.5000)
N (0.1003, 0.1003, 0.1003)
N (0.8997, 0.8997, 0.8997)

Computed properties:
- Energy: -33.03 eV/cell
- Formation energy from raw total energies: 0.0591 eV/atom
- Crystal system: trigonal
- Magnetization: 0.0 μB/cell

***

# 6
A plane-wave DFT calculation with PBE was carried out for a relaxed Sr3B2N4 crystal.

Unit cell a=6.1366 b=6.1366 c=8.6492 alpha=126.80 beta=126.80 gamma=37.29
Sites, in units of the cell vectors:
Sr (0.0000, 0.0000, 0.0000)
Sr (0.3988, 0.3988, 0.5651)
Sr (0.6012, 0.6012, 0.4349)
B (0.1884, 0.1884, 0.7620)
B (0.8116, 0.8116, 0.2380)
N (0.0697, 0.0697, 0.7540)
N (0.2958, 0.2958, 0.7413)
N (0.7042, 0.7042, 0.2587)
N (0.9303, 0.9303, 0.2460)

Computed properties:
- Energy: -60.70 eV/cell
- Formation energy from raw total energies: -0.9995 eV/atom
- Crystal system: monoclinic
- Magnetization: 0.0 μB/cell

***

# 7
A plane-wave DFT calculation with PBE was carried out for a relaxed MnAsCSe2 crystal.

Unit cell a=4.8519 b=4.8519 c=3.5730 alpha=90.00 beta=90.00 gamma=90.00
Sites, in units of the cell vectors:
Mn (0.0000, 0.0000, 0.0000)
As (0.5000, 0.5000, 0.5000)
C (0.0000, 0.0000, 0.5000)
Se (0.0000, 0.5000, 0.0000)
Se (0.5000, 0.0000, 0.0000)

Computed properties:
- Energy: -26.30 eV/cell
- Formation energy from raw total energies: 0.7433 eV/atom
- Energy above the most stable polymorph in this dataset: 0.000 eV/atom
- Crystal system: tetragonal
- Magnetization: 0.0 μB/cell

***

# 8
A plane-wave DFT calculation with PBE was carried out for a relaxed TiP2OsBr crystal.

Unit cell a=4.6702 b=4.6702 c=4.4952 alpha=90.00 beta=90.00 gamma=90.00
Sites, in units of the cell vectors:
Ti (0.0000, 0.0000, 0.0000)
P (0.0000, 0.5000, 0.5000)
P (0.5000, 0.0000, 0.5000)
Os (0.5000, 0.5000, 0.0000)
Br (0.0000, 0.0000, 0.5000)

Computed properties:
- Energy: -22.21 eV/cell
- Formation energy from raw total energies: 1.8820 eV/atom
- Energy above the most stable polymorph in this dataset: 1.130 eV/atom
- Crystal system: tetragonal
- Magnetization: 0.0 μB/cell